Compound: PmMoWO6
Source: Alexandria
Functional: GGA+U
Structure: relaxed

## Properties
The calculation puts the raw total energy at -138.17 eV per cell.

a = 5.599 Å, b = 5.599 Å, c = 8.772 Å
α = 90.00°, β = 90.00°, γ = 120.00°
Fractional positions:
Pm 0.333 0.667 0.250
Pm 0.667 0.333 0.750
Mo 0.000 0.000 0.000
Mo 0.000 0.000 0.500
W 0.333 0.667 0.750
W 0.667 0.333 0.250
O 0.055 0.364 0.626
O 0.055 0.690 0.874
O 0.310 0.364 0.874
O 0.310 0.945 0.626
O 0.364 0.055 0.126
O 0.364 0.310 0.374
O 0.636 0.690 0.626
O 0.636 0.945 0.874
O 0.690 0.055 0.374
O 0.690 0.636 0.126
O 0.945 0.310 0.126
O 0.945 0.636 0.374